Record 1
# Na3VO3 (PBE with a Hubbard U, optimized geometry)
# **ΔE to the lowest computed polymorph**: 0.000 eV/atom
# **DOS at the Fermi energy**: 0.09 states/eV/f.u.
data_Na3VO3
_chemical_formula_sum 'Na6 V2 O6'
_cell_length_a 5.928
_cell_length_b 6.033
_cell_length_c 6.466
_cell_angle_alpha 63.49
_cell_angle_beta 88.95
_cell_angle_gamma 88.25
_space_group_name_H-M_alt 'P 1'
_space_group_IT_number 1
loop_
_space_group_symop_operation_xyz
'x,y,z'
loop_
_atom_site_label
_atom_site_type_symbol
_atom_site_fract_x
_atom_site_fract_y
_atom_site_fract_z
_atom_site_occupancy
Na1 Na 0.070 0.234 0.256 1
Na2 Na 0.362 0.721 0.015 1
Na3 Na 0.429 0.744 0.545 1
Na4 Na 0.571 0.256 0.455 1
Na5 Na 0.638 0.279 0.985 1
Na6 Na 0.930 0.766 0.744 1
V1 V 0.129 0.306 0.695 1
V2 V 0.871 0.694 0.305 1
O1 O 0.186 0.575 0.370 1
O2 O 0.246 0.028 0.656 1
O3 O 0.265 0.392 0.906 1
O4 O 0.735 0.608 0.094 1
O5 O 0.754 0.972 0.344 1
O6 O 0.814 0.425 0.630 1



Record 2
# Na3VO (PBE with a Hubbard U, optimized geometry)
# **ΔE to the lowest computed polymorph**: 0.000 eV/atom
# **DOS at the Fermi energy**: 4.16 states/eV/f.u.
data_Na3VO
_chemical_formula_sum 'Na3 V1 O1'
_cell_length_a 4.771
_cell_length_b 4.771
_cell_length_c 4.771
_cell_angle_alpha 90.00
_cell_angle_beta 90.00
_cell_angle_gamma 90.00
_space_group_name_H-M_alt 'P 1'
_space_group_IT_number 1
loop_
_space_group_symop_operation_xyz
'x,y,z'
loop_
_atom_site_label
_atom_site_type_symbol
_atom_site_fract_x
_atom_site_fract_y
_atom_site_fract_z
_atom_site_occupancy
Na1 Na 0.000 0.000 0.500 1
Na2 Na 0.000 0.500 0.000 1
Na3 Na 0.500 0.000 0.000 1
V1 V 0.500 0.500 0.500 1
O1 O 0.000 0.000 0.000 1



Record 3
# NaV4O10 (PBE with a Hubbard U, optimized geometry)
# **ΔE to the lowest computed polymorph**: 0.000 eV/atom
# **DOS at the Fermi energy**: 1.68 states/eV/f.u.
data_NaV4O10
_chemical_formula_sum 'Na1 V4 O10'
_cell_length_a 6.146
_cell_length_b 6.146
_cell_length_c 9.856
_cell_angle_alpha 107.75
_cell_angle_beta 107.75
_cell_angle_gamma 34.84
_space_group_name_H-M_alt 'P 1'
_space_group_IT_number 1
loop_
_space_group_symop_operation_xyz
'x,y,z'
loop_
_atom_site_label
_atom_site_type_symbol
_atom_site_fract_x
_atom_site_fract_y
_atom_site_fract_z
_atom_site_occupancy
Na1 Na 0.000 0.000 0.000 1
V1 V 0.316 0.316 0.675 1
V2 V 0.392 0.392 0.332 1
V3 V 0.608 0.608 0.668 1
V4 V 0.684 0.684 0.325 1
O1 O 0.139 0.139 0.640 1
O2 O 0.224 0.224 0.369 1
O3 O 0.365 0.365 0.160 1
O4 O 0.388 0.388 0.848 1
O5 O 0.446 0.446 0.601 1
O6 O 0.554 0.554 0.399 1
O7 O 0.612 0.612 0.152 1
O8 O 0.635 0.635 0.840 1
O9 O 0.776 0.776 0.631 1
O10 O 0.861 0.861 0.360 1



Record 4
# NaV5O8 (PBE with a Hubbard U, optimized geometry)
# **ΔE to the lowest computed polymorph**: 0.000 eV/atom
data_NaV5O8
_chemical_formula_sum 'Na4 V20 O32'
_cell_length_a 8.644
_cell_length_b 8.644
_cell_length_c 8.644
_cell_angle_alpha 90.00
_cell_angle_beta 90.00
_cell_angle_gamma 90.00
_space_group_name_H-M_alt 'P 1'
_space_group_IT_number 1
loop_
_space_group_symop_operation_xyz
'x,y,z'
loop_
_atom_site_label
_atom_site_type_symbol
_atom_site_fract_x
_atom_site_fract_y
_atom_site_fract_z
_atom_site_occupancy
Na1 Na 0.125 0.125 0.125 1
Na2 Na 0.375 0.875 0.625 1
Na3 Na 0.625 0.375 0.875 1
Na4 Na 0.875 0.625 0.375 1
V1 V 0.000 0.000 0.500 1
V2 V 0.000 0.500 0.000 1
V3 V 0.124 0.375 0.374 1
V4 V 0.125 0.626 0.624 1
V5 V 0.126 0.876 0.875 1
V6 V 0.250 0.250 0.750 1
V7 V 0.250 0.750 0.250 1
V8 V 0.374 0.124 0.375 1
V9 V 0.375 0.374 0.124 1
V10 V 0.376 0.625 0.874 1
V11 V 0.500 0.000 0.000 1
V12 V 0.500 0.500 0.500 1
V13 V 0.624 0.125 0.626 1
V14 V 0.625 0.874 0.376 1
V15 V 0.626 0.624 0.125 1
V16 V 0.750 0.250 0.250 1
V17 V 0.750 0.750 0.750 1
V18 V 0.874 0.376 0.625 1
V19 V 0.875 0.126 0.876 1
V20 V 0.876 0.875 0.126 1
O1 O 0.108 0.859 0.115 1
O2 O 0.109 0.858 0.635 1
O3 O 0.115 0.108 0.859 1
O4 O 0.115 0.385 0.615 1
O5 O 0.135 0.391 0.142 1
O6 O 0.135 0.635 0.865 1
O7 O 0.141 0.615 0.392 1
O8 O 0.142 0.135 0.391 1
O9 O 0.358 0.865 0.891 1
O10 O 0.359 0.385 0.892 1
O11 O 0.365 0.365 0.365 1
O12 O 0.365 0.609 0.642 1
O13 O 0.385 0.615 0.115 1
O14 O 0.385 0.892 0.359 1
O15 O 0.391 0.142 0.135 1
O16 O 0.392 0.141 0.615 1
O17 O 0.608 0.641 0.885 1
O18 O 0.609 0.642 0.365 1
O19 O 0.615 0.115 0.385 1
O20 O 0.615 0.392 0.141 1
O21 O 0.635 0.109 0.858 1
O22 O 0.635 0.865 0.135 1
O23 O 0.641 0.885 0.608 1
O24 O 0.642 0.365 0.609 1
O25 O 0.858 0.635 0.109 1
O26 O 0.859 0.115 0.108 1
O27 O 0.865 0.135 0.635 1
O28 O 0.865 0.891 0.358 1
O29 O 0.885 0.608 0.641 1
O30 O 0.885 0.885 0.885 1
O31 O 0.891 0.358 0.865 1
O32 O 0.892 0.359 0.385 1



- What is the formula in the second record?
  Na3VO